Material: CoMoF5
Method: DFT, PBE with a Hubbard U
State: optimized geometry

Cell and atoms, written as CIF:
```
data_CoMoF5
_cell_length_a 3.711
_cell_length_b 6.874
_cell_length_c 8.177
_cell_angle_alpha 90.00
_cell_angle_beta 90.00
_cell_angle_gamma 90.00
_space_group_name_H-M_alt 'I m m m'
_space_group_IT_number 71
_space_group_name_Hall '-I 2 2'
loop_
_atom_site_label
_atom_site_type_symbol
_atom_site_fract_x
_atom_site_fract_y
_atom_site_fract_z
Co1 Co 0.000 0.000 0.000
Mo1 Mo 0.000 0.000 0.500
F1 F 0.000 0.000 0.250
F2 F 0.000 0.322 0.000
F3 F 0.000 0.500 0.500
```

Computed properties:
N(E_F)   0.000 states/eV/cell
Total DFT energy (no corrections)   -5.336 eV/atom
Size of the total moment   12.000 μB/cell